[1]
Pr3Hg4 | GGA-PBE | relaxed

a = 5.265 Å, b = 5.265 Å, c = 9.560 Å
α = 74.02°, β = 74.02°, γ = 60.00°
Sites, in units of the cell vectors:
Hg 0.624 0.624 0.128
Hg 0.874 0.874 0.379
Hg 0.126 0.126 0.621
Hg 0.376 0.376 0.872
Pr 0.757 0.757 0.729
Pr 0.243 0.243 0.271
Pr 0.000 0.000 0.000

DOS(E_F)	6.76	states/eV/f.u.
crystal system	trigonal
energy relative to the elements	-2.35	eV per formula unit
energy relative to the lowest polymorph listed for this composition	0.99	eV/f.u.
energy	-2.556	eV/atom
total magnetization	0.00	μB/f.u.


[2]
PrHg3 | GGA-PBE | relaxed

a = 4.739 Å, b = 4.731 Å, c = 4.724 Å
α = 90.00°, β = 90.00°, γ = 90.00°
Sites, in units of the cell vectors:
Hg 0.500 0.000 0.417
Hg 0.500 0.500 0.917
Hg 0.000 0.000 0.917
Pr 0.000 0.500 0.417

DOS(E_F)	4.27	states/eV/f.u.
crystal system	tetragonal
energy relative to the elements	-1.41	eV per formula unit
energy	-1.774	eV/atom
total magnetization	0.00	μB/f.u.


[3]
PrHg6 | GGA-PBE | relaxed

a = 6.811 Å, b = 6.811 Å, c = 6.811 Å
α = 109.47°, β = 109.47°, γ = 109.47°
Sites, in units of the cell vectors:
Hg 0.250 0.500 0.750
Hg 0.500 0.250 0.750
Hg 0.500 0.750 0.250
Hg 0.750 0.500 0.250
Hg 0.750 0.250 0.500
Hg 0.250 0.750 0.500
Pr 0.000 0.000 0.000

DOS(E_F)	6.34	states/eV/f.u.
crystal system	cubic
energy relative to the elements	2.48	eV per formula unit
energy relative to the lowest polymorph listed for this composition	3.94	eV/f.u.
energy	-0.588	eV/atom
total magnetization	0.00	μB/f.u.